The following is a SCAN calculation of TaAlFe2 at its PBEsol-relaxed geometry, from Alexandria.

POSCAR file:
```
TaAlFe2
1.0
-1.1604 1.7733 2.0729
-0.3026 -2.3224 1.8173
5.2541 0.9686 2.1127
Fe Al Ta
2 1 1
Cartesian
3.9275 0.7240 1.5793 Fe
1.3267 0.2446 0.5335 Fe
1.8956 0.2097 3.0015 Al
-0.7315 -0.2746 1.9451 Ta
```

Output
The value obtained for the magnetization is 0.064 μB per formula unit. As for the symmetry: P4/mmm. The formation energy comes out at -0.327 eV/atom.

---

The following is a SCAN calculation of LaNiSn at its PBEsol-relaxed geometry, from Alexandria.

POSCAR file:
```
LaNiSn
1.0
4.6828 0.0000 0.0000
0.0000 7.0797 0.0000
0.0000 0.0000 7.7687
La Ni Sn
4 4 4
Cartesian
3.5121 2.2690 0.2696 La
1.1707 4.8107 7.4992 La
1.1707 5.8089 3.6148 La
3.5121 1.2708 4.1539 La
1.1707 3.0022 5.2036 Ni
3.5121 4.0776 2.5651 Ni
1.1707 0.5377 1.3192 Ni
3.5121 6.5420 6.4495 Ni
1.1707 0.7273 6.4060 Sn
3.5121 4.2672 5.2471 Sn
1.1707 2.8126 2.5216 Sn
3.5121 6.3524 1.3627 Sn
```

Output
The value obtained for the magnetization is 0.000 μB per formula unit. As for the symmetry: Pnma. The formation energy comes out at -0.695 eV/atom.

---

The following is a SCAN calculation of TlTeRuN2 at its PBEsol-relaxed geometry, from Alexandria.

POSCAR file:
```
TlTeRuN2
1.0
4.0896 0.0000 0.0000
0.0000 4.0896 0.0000
0.0000 0.0000 6.2679
Ru Tl Te N
1 1 1 2
Cartesian
2.0448 2.0448 3.1339 Ru
0.0000 0.0000 0.0000 Tl
0.0000 0.0000 3.1339 Te
0.0000 2.0448 0.0000 N
2.0448 0.0000 0.0000 N
```

Output
The value obtained for the magnetization is 5.623 μB per formula unit. As for the symmetry: P4/mmm. As for the raw formation energy: 2.18 eV per atom.

---

The following is a SCAN calculation of FeSi at its PBEsol-relaxed geometry, from Alexandria.

POSCAR file:
```
FeSi
1.0
-1.5898 4.0861 0.3607
-3.5081 -1.1538 -2.3908
-2.1260 -1.1516 3.6753
Si Fe
4 4
Cartesian
-5.0948 -0.0592 0.1478 Si
-0.6592 0.1625 0.1501 Si
-4.3059 0.8978 2.5759 Si
-4.3879 2.5603 0.4165 Si
-4.2147 -1.2686 1.8374 Fe
-2.7985 0.6898 0.6373 Fe
-3.1082 2.7906 2.3024 Fe
-4.3263 1.3496 -1.4868 Fe
```

Output
The value obtained for the magnetization is 0.000 μB per formula unit. As for the symmetry: P2_13. As for the raw formation energy: -0.42 eV per atom.

---

The following is a SCAN calculation of TlIr3N at its PBEsol-relaxed geometry, from Alexandria.

POSCAR file:
```
TlIr3N
1.0
4.1470 0.0000 0.0000
0.0000 4.1470 0.0000
0.0000 0.0000 4.1470
Tl Ir N
1 3 1
Cartesian
2.0735 2.0735 2.0735 Tl
0.0000 2.0735 0.0000 Ir
0.0000 0.0000 2.0735 Ir
2.0735 0.0000 0.0000 Ir
0.0000 0.0000 0.0000 N
```

Output
The value obtained for the magnetization is 0.000 μB per formula unit. As for the symmetry: Pm-3m. As for the raw formation energy: 0.97 eV per atom.

---

The following is a SCAN calculation of CuAsP2 at its PBEsol-relaxed geometry, from Alexandria.

POSCAR file:
```
CuAsP2
1.0
3.8884 0.0000 0.0000
0.0000 3.8929 0.0000
0.0000 0.0000 3.8929
As Cu P
1 1 2
Cartesian
1.9442 1.9464 1.9464 As
1.9442 0.0000 0.0000 Cu
0.0000 0.0000 1.9464 P
0.0000 1.9464 0.0000 P
```

Output
The value obtained for the magnetization is 0.000 μB per formula unit. As for the symmetry: P4/mmm. The formation energy comes out at 0.719 eV/atom.

---

The following is a SCAN calculation of LiIO3 at its PBEsol-relaxed geometry, from Alexandria.

POSCAR file:
```
LiIO3
1.0
5.0564 0.0000 0.0000
0.0000 5.3869 0.0000
0.0000 -2.6934 4.6652
I O Li
2 6 2
Cartesian
5.0122 2.6934 1.5551 I
2.4840 0.0000 3.1101 I
0.8342 3.7568 0.3462 O
0.8342 1.1148 1.2385 O
0.8342 3.2086 3.0804 O
3.3624 -1.0634 4.3190 O
3.3624 1.5786 3.4266 O
3.3624 -0.5152 1.5847 O
4.6672 0.0000 0.0000 Li
2.1390 0.0000 0.0000 Li
```

Output
The value obtained for the magnetization is 0.000 μB per formula unit. As for the symmetry: P6_3. As for the raw formation energy: -1.06 eV per atom.

---

The following is a SCAN calculation of NbP2PbSe at its PBEsol-relaxed geometry, from Alexandria.

POSCAR file:
```
NbP2PbSe
1.0
4.6787 0.0000 0.0000
0.0000 4.6787 0.0000
0.0000 0.0000 5.7451
Pb P Nb Se
1 2 1 1
Cartesian
0.0000 0.0000 2.8725 Pb
0.0000 2.3393 0.0000 P
2.3393 0.0000 0.0000 P
0.0000 0.0000 0.0000 Nb
2.3393 2.3393 2.8725 Se
```

Output
The value obtained for the magnetization is 0.012 μB per formula unit. As for the symmetry: P4/mmm. As for the raw formation energy: 0.39 eV per atom.